5
Lattice="5.3228 0.0000 0.0000 0.0000 5.3228 0.0000 0.0000 0.0000 4.9276" Properties=species:S:1:pos:R:3 comment="LiLa2YC, relaxed, DFT PBE" crystal_system=tetragonal energy_ev_per_atom=-5.471 mass_density_g_cm3=4.6 e_form_ev_per_atom=0.021 pbc="T T T"
Y 0.0000 0.0000 2.4638
C 0.0000 0.0000 0.0000
Li 2.6614 2.6614 2.4638
La 0.0000 2.6614 0.0000
La 2.6614 0.0000 0.0000